The following is a PBE calculation of a relaxed structure of PuInSi, from Alexandria via LeMat-Bulk.

```
data_PuInSi
_chemical_formula_sum 'Pu1 In1 Si1'
_cell_length_a 3.303
_cell_length_b 4.795
_cell_length_c 4.795
_cell_angle_alpha 120.00
_cell_angle_beta 90.00
_cell_angle_gamma 90.00
_space_group_name_H-M_alt 'P 1'
_space_group_IT_number 1
loop_
_space_group_symop_operation_xyz
'x,y,z'
loop_
_atom_site_label
_atom_site_type_symbol
_atom_site_fract_x
_atom_site_fract_y
_atom_site_fract_z
_atom_site_occupancy
Si1 Si 0.167 0.000 0.000 1
In1 In 0.166 0.333 0.667 1
Pu1 Pu 0.667 0.667 0.333 1
```

Results
space group	No. 187
energy	-7.6163	eV per atom



The following is a PBE calculation of a relaxed structure of CsPb4Au2, from Alexandria via LeMat-Bulk.

```
data_CsPb4Au2
_chemical_formula_sum 'Cs1 Pb4 Au2'
_cell_length_a 5.172
_cell_length_b 4.843
_cell_length_c 9.245
_cell_angle_alpha 105.18
_cell_angle_beta 90.00
_cell_angle_gamma 90.00
_space_group_name_H-M_alt 'P 1'
_space_group_IT_number 1
loop_
_space_group_symop_operation_xyz
'x,y,z'
loop_
_atom_site_label
_atom_site_type_symbol
_atom_site_fract_x
_atom_site_fract_y
_atom_site_fract_z
_atom_site_occupancy
Cs1 Cs 0.000 0.000 0.000 1
Pb1 Pb 0.500 0.819 0.638 1
Pb2 Pb 0.000 0.685 0.371 1
Pb3 Pb 0.500 0.181 0.362 1
Pb4 Pb 0.000 0.315 0.629 1
Au1 Au 0.500 0.578 0.155 1
Au2 Au 0.500 0.422 0.845 1
```

Results
space group	No. 65
energy of formation from the pure elements	-105	meV/atom



The following is a PBE calculation of a relaxed structure of Sc6SnAu5, from Alexandria via LeMat-Bulk.

```
data_Sc6SnAu5
_chemical_formula_sum 'Sc6 Sn1 Au5'
_cell_length_a 4.828
_cell_length_b 6.933
_cell_length_c 8.389
_cell_angle_alpha 114.41
_cell_angle_beta 106.72
_cell_angle_gamma 90.00
_space_group_name_H-M_alt 'P 1'
_space_group_IT_number 1
loop_
_space_group_symop_operation_xyz
'x,y,z'
loop_
_atom_site_label
_atom_site_type_symbol
_atom_site_fract_x
_atom_site_fract_y
_atom_site_fract_z
_atom_site_occupancy
Sc1 Sc 0.829 0.573 0.659 1
Sc2 Sc 0.829 0.085 0.659 1
Sc3 Sc 0.500 0.738 0.000 1
Sc4 Sc 0.500 0.262 0.000 1
Sc5 Sc 0.171 0.915 0.341 1
Sc6 Sc 0.171 0.427 0.341 1
Au1 Au 0.661 0.161 0.322 1
Au2 Au 0.335 0.334 0.668 1
Au3 Au 0.000 0.500 0.000 1
Au4 Au 0.665 0.666 0.332 1
Au5 Au 0.339 0.839 0.678 1
Sn1 Sn 0.000 0.000 0.000 1
```

Results
space group	No. 71
energy of formation from the pure elements	-767	meV/atom